# 1
Below is La2SbPd2 after structural relaxation, with properties calculated at the PBE level.

Cell: 5.687 5.687 8.274 Å, 90.00 90.00 90.00°
Space group I4/mmm (No. 139)
Symmetry-distinct sites (fractional):
La: 0.000 0.500 0.250 (multiplicity 4)
Sb: 0.000 0.000 0.000 (multiplicity 2)
Pd: 0.000 0.000 0.345 (multiplicity 4)

Values from the calculation:
Offset from the most stable computed form, meV per atom: 149.2
Calculated total energy, eV per atom: -5.71
Volume, Å³/atom: 26.76
D(E_F), states/eV/cell: 7.96
Formation energy from raw total energies, meV per atom: -840



# 2
Below is Ca2GaSi after structural relaxation, with properties calculated at the PBE level.

Cell: 5.947 4.098 8.684 Å, 90.00 107.29 90.00°
Space group P2_1/m (No. 11)
Symmetry-distinct sites (fractional):
Ca: 0.205 0.250 0.427 (multiplicity 2)
Ca: 0.284 0.750 0.067 (multiplicity 2)
Ga: 0.357 0.750 0.715 (multiplicity 2)
Si: 0.153 0.250 0.784 (multiplicity 2)

Values from the calculation:
Calculated total energy, eV per atom: -3.63
Volume, Å³/atom: 25.26
D(E_F), states/eV/cell: 3.98
Formation energy from raw total energies, meV per atom: -513



# 3
Below is MgNiIr2Os after structural relaxation, with properties calculated at the PBE level.

Cell: 4.458 4.458 4.105 Å, 90.00 90.00 90.00°
Space group P4/mmm (No. 123)
Symmetry-distinct sites (fractional):
Mg: 0.000 0.000 0.000 (multiplicity 1)
Ni: 0.000 0.000 0.500 (multiplicity 1)
Ir: 0.000 0.500 0.000 (multiplicity 2)
Os: 0.500 0.500 0.500 (multiplicity 1)

Values from the calculation:
Calculated total energy, eV per atom: -5.45
Volume, Å³/atom: 16.31
D(E_F), states/eV/cell: 7.80
Energy of formation, eV per formula unit: 9.1



# 4
Below is SrB3As after structural relaxation, with properties calculated at the PBE level.

Cell: 4.875 4.875 4.875 Å, 90.00 90.00 90.00°
Space group Pm-3m (No. 221)
Symmetry-distinct sites (fractional):
Sr: 0.000 0.000 0.000 (multiplicity 1)
B: 0.000 0.000 0.500 (multiplicity 3)
As: 0.500 0.500 0.500 (multiplicity 1)

Values from the calculation:
Offset from the most stable computed form, meV per atom: 1567.4
Calculated total energy, eV per atom: -2.40
Volume, Å³/atom: 23.17
D(E_F), states/eV/cell: 3.56
Energy of formation, eV per formula unit: 14.4



# 5
Below is KBa2GeSe4 after structural relaxation, with properties calculated at the PBE level.

Cell: 16.324 9.029 9.652 Å, 90.00 123.85 90.00°
Space group Cm (No. 8)
Symmetry-distinct sites (fractional):
K: 0.000 0.230 0.000 (multiplicity 4)
Ba: 0.235 0.000 0.012 (multiplicity 2)
Ba: 0.237 0.000 0.488 (multiplicity 2)
Ba: 0.481 0.266 0.472 (multiplicity 4)
Ge: 0.184 0.500 0.783 (multiplicity 2)
Ge: 0.204 0.500 0.385 (multiplicity 2)
Se: 0.012 0.000 0.744 (multiplicity 2)
Se: 0.012 0.500 0.252 (multiplicity 2)
Se: 0.015 0.000 0.272 (multiplicity 2)
Se: 0.037 0.500 0.763 (multiplicity 2)
Se: 0.242 0.259 0.267 (multiplicity 4)
Se: 0.244 0.276 0.764 (multiplicity 4)

Values from the calculation:
Calculated total energy, eV per atom: -4.14
Volume, Å³/atom: 36.92
Formation energy from raw total energies, meV per atom: -1201



# 6
Below is Ac3HgIr after structural relaxation, with properties calculated at the PBE level.

Cell: 13.409 6.023 9.590 Å, 90.00 113.23 90.00°
Space group C2/m (No. 12)
Symmetry-distinct sites (fractional):
Ac: 0.105 0.000 0.220 (multiplicity 4)
Ac: 0.124 0.500 0.902 (multiplicity 4)
Ac: 0.163 0.000 0.643 (multiplicity 4)
Hg: 0.113 0.500 0.461 (multiplicity 4)
Ir: 0.132 0.000 0.927 (multiplicity 4)

Values from the calculation:
Offset from the most stable computed form, meV per atom: 45.3
Calculated total energy, eV per atom: -4.79
Volume, Å³/atom: 35.59
D(E_F), states/eV/cell: 15.82
Energy of formation, eV per formula unit: -2.5



# 7
Below is Ca2ScCr after structural relaxation, with properties calculated at the PBE level.

Cell: 7.686 7.686 7.686 Å, 90.00 90.00 90.00°
Space group Fm-3m (No. 225)
Symmetry-distinct sites (fractional):
Ca: 0.250 0.250 0.250 (multiplicity 8)
Sc: 0.000 0.000 0.000 (multiplicity 4)
Cr: 0.000 0.000 0.500 (multiplicity 4)

Values from the calculation:
Offset from the most stable computed form, meV per atom: 213.7
Calculated total energy, eV per atom: -4.48
Volume, Å³/atom: 28.38
D(E_F), states/eV/cell: 18.76
Energy of formation, eV per formula unit: 2.0



# 8
Below is La2Nd5Tm5 after structural relaxation, with properties calculated at the PBE level.

Cell: 15.403 5.075 11.471 Å, 90.00 116.76 90.00°
Space group C2/m (No. 12)
Symmetry-distinct sites (fractional):
La: 0.082 0.000 0.252 (multiplicity 4)
Nd: 0.000 0.000 0.500 (multiplicity 2)
Nd: 0.166 0.000 0.999 (multiplicity 4)
Nd: 0.247 0.000 0.747 (multiplicity 4)
Tm: 0.000 0.500 0.000 (multiplicity 2)
Tm: 0.084 0.500 0.749 (multiplicity 4)
Tm: 0.167 0.500 0.501 (multiplicity 4)

Values from the calculation:
Calculated total energy, eV per atom: -4.65
Volume, Å³/atom: 33.36
D(E_F), states/eV/cell: 36.85
Energy of formation, eV per formula unit: 0.3



Question: Which value of calculated total energy does entry 8 give?
Answer: -4.65 eV per atom



Question: Which of these has the lowest volume?
Answer: MgNiIr2Os